# SrAlOs3, PBEsol geometry, DFT meta-GGA SCAN
data_SrAlOs3
_chemical_formula_sum 'Sr1 Al1 Os3'
_cell_length_a 4.725
_cell_length_b 4.725
_cell_length_c 4.725
_cell_angle_alpha 90.00
_cell_angle_beta 90.00
_cell_angle_gamma 90.00
_space_group_name_H-M_alt 'P m -3 m'
_space_group_IT_number 221
_space_group_name_Hall '-P 4 2 3'
loop_
_atom_site_label
_atom_site_type_symbol
_atom_site_fract_x
_atom_site_fract_y
_atom_site_fract_z
Sr1 Sr 0.000 0.000 0.000
Al1 Al 0.500 0.500 0.500
Os1 Os 0.000 0.000 0.500
# - formation energy from the elements (eV per atom) = 3.73
# - total magnetization (μB/f.u.) = 0.0

# Mg2TeAs2, PBEsol geometry, DFT meta-GGA SCAN
data_Mg2TeAs2
_chemical_formula_sum 'Mg4 Te2 As4'
_cell_length_a 7.766
_cell_length_b 7.766
_cell_length_c 3.603
_cell_angle_alpha 90.00
_cell_angle_beta 90.00
_cell_angle_gamma 90.00
_space_group_name_H-M_alt 'P 4/m b m'
_space_group_IT_number 127
_space_group_name_Hall '-P 4 2ab'
loop_
_atom_site_label
_atom_site_type_symbol
_atom_site_fract_x
_atom_site_fract_y
_atom_site_fract_z
Mg1 Mg 0.141 0.359 0.000
Te1 Te 0.000 0.000 0.500
As1 As 0.166 0.666 0.500
# - total magnetization (μB/f.u.) = 0.0
# - ΔE_f (raw) (eV/atom) = -0.206

# SrRu2Cl, PBEsol geometry, DFT meta-GGA SCAN
data_SrRu2Cl
_chemical_formula_sum 'Sr2 Ru4 Cl2'
_cell_length_a 5.062
_cell_length_b 10.412
_cell_length_c 2.889
_cell_angle_alpha 90.00
_cell_angle_beta 90.00
_cell_angle_gamma 90.00
_space_group_name_H-M_alt 'C m m m'
_space_group_IT_number 65
_space_group_name_Hall '-C 2 2'
loop_
_atom_site_label
_atom_site_type_symbol
_atom_site_fract_x
_atom_site_fract_y
_atom_site_fract_z
Sr1 Sr 0.000 0.000 0.000
Ru1 Ru 0.250 0.250 0.500
Cl1 Cl 0.000 0.500 0.000
# - excess energy over the best structure of this formula in the dataset (eV per atom) = 0.959
# - total magnetization (μB/f.u.) = 0.0
# - ΔE_f (raw) (eV/atom) = 0.749

# Be3C4, PBEsol geometry, DFT meta-GGA SCAN
data_Be3C4
_chemical_formula_sum 'Be6 C8'
_cell_length_a 2.432
_cell_length_b 2.432
_cell_length_c 16.569
_cell_angle_alpha 90.00
_cell_angle_beta 90.00
_cell_angle_gamma 90.00
_space_group_name_H-M_alt 'I 4/m m m'
_space_group_IT_number 139
_space_group_name_Hall '-I 4 2'
loop_
_atom_site_label
_atom_site_type_symbol
_atom_site_fract_x
_atom_site_fract_y
_atom_site_fract_z
Be1 Be 0.000 0.000 0.000
Be2 Be 0.000 0.000 0.292
C1 C 0.000 0.000 0.105
C2 C 0.000 0.000 0.404
# - formation energy from the elements (eV per atom) = 1.79
# - excess energy over the best structure of this formula in the dataset (eV per atom) = 0.000
# - total magnetization (μB/f.u.) = 0.0

# MgSc2Al, PBEsol geometry, DFT meta-GGA SCAN
data_MgSc2Al
_chemical_formula_sum 'Mg4 Sc8 Al4'
_cell_length_a 6.871
_cell_length_b 6.871
_cell_length_c 6.871
_cell_angle_alpha 90.00
_cell_angle_beta 90.00
_cell_angle_gamma 90.00
_space_group_name_H-M_alt 'F m -3 m'
_space_group_IT_number 225
_space_group_name_Hall '-F 4 2 3'
loop_
_atom_site_label
_atom_site_type_symbol
_atom_site_fract_x
_atom_site_fract_y
_atom_site_fract_z
Mg1 Mg 0.000 0.000 0.000
Sc1 Sc 0.250 0.250 0.250
Al1 Al 0.000 0.000 0.500
# - formation energy from the elements (eV per atom) = -0.30
# - excess energy over the best structure of this formula in the dataset (eV per atom) = 0.000
# - total magnetization (μB/f.u.) = 0.0

# Ta3W, PBEsol geometry, DFT meta-GGA SCAN
data_Ta3W
_chemical_formula_sum 'Ta6 W2'
_cell_length_a 5.184
_cell_length_b 5.184
_cell_length_c 5.184
_cell_angle_alpha 90.00
_cell_angle_beta 90.00
_cell_angle_gamma 90.00
_space_group_name_H-M_alt 'P m -3 n'
_space_group_IT_number 223
_space_group_name_Hall '-P 4n 2 3'
loop_
_atom_site_label
_atom_site_type_symbol
_atom_site_fract_x
_atom_site_fract_y
_atom_site_fract_z
Ta1 Ta 0.000 0.250 0.500
W1 W 0.000 0.000 0.000
# - formation energy from the elements (eV per atom) = 0.03
# - total magnetization (μB/f.u.) = 0.0

# CdAs, PBEsol geometry, DFT meta-GGA SCAN
data_CdAs
_chemical_formula_sum 'Cd2 As2'
_cell_length_a 5.389
_cell_length_b 2.824
_cell_length_c 5.390
_cell_angle_alpha 90.00
_cell_angle_beta 90.00
_cell_angle_gamma 90.00
_space_group_name_H-M_alt 'P m m a'
_space_group_IT_number 51
loop_
_space_group_symop_operation_xyz
'x,y,z'
'-x,-y,-z'
'-x+1/2,-y,z'
'x+1/2,y,-z'
'x+1/2,-y,-z'
'-x+1/2,y,z'
'-x,y,-z'
'x,-y,z'
loop_
_atom_site_label
_atom_site_type_symbol
_atom_site_fract_x
_atom_site_fract_y
_atom_site_fract_z
Cd1 Cd 0.250 0.000 0.249
As1 As 0.250 0.500 0.749
# - formation energy from the elements (eV per atom) = 0.20
# - excess energy over the best structure of this formula in the dataset (eV per atom) = 0.319
# - total magnetization (μB/f.u.) = 0.0

# YSc2InRe, PBEsol geometry, DFT meta-GGA SCAN
data_YSc2InRe
_chemical_formula_sum 'Y1 Sc2 In1 Re1'
_cell_length_a 4.786
_cell_length_b 4.786
_cell_length_c 5.351
_cell_angle_alpha 90.00
_cell_angle_beta 90.00
_cell_angle_gamma 90.00
_space_group_name_H-M_alt 'P 4/m m m'
_space_group_IT_number 123
_space_group_name_Hall '-P 4 2'
loop_
_atom_site_label
_atom_site_type_symbol
_atom_site_fract_x
_atom_site_fract_y
_atom_site_fract_z
Y1 Y 0.000 0.000 0.000
Sc1 Sc 0.000 0.500 0.000
In1 In 0.000 0.000 0.500
Re1 Re 0.500 0.500 0.500
# - formation energy from the elements (eV per atom) = 1.95
# - total magnetization (μB/f.u.) = 3.8